# PBE-GGA NaLi2LaIr, relaxed
data_NaLi2LaIr
_chemical_formula_sum 'Na1 Li2 La1 Ir1'
_cell_length_a 5.2189
_cell_length_b 5.2189
_cell_length_c 5.2778
_cell_angle_alpha 90.00
_cell_angle_beta 90.00
_cell_angle_gamma 90.00
_symmetry_space_group_name_H-M 'P 4/m m m'
_symmetry_Int_Tables_number 123
_symmetry_space_group_name_Hall '-P 4 2'
loop_
_atom_site_label
_atom_site_fract_x
_atom_site_fract_y
_atom_site_fract_z
Na1 0.0000 0.0000 0.0000
Li1 0.0000 0.5000 0.5000
La1 0.5000 0.5000 0.0000
Ir1 0.5000 0.5000 0.5000
# Total DFT energy (no corrections)   -3.78 eV/atom
# DFT formation energy   0.003 eV/atom
# N(E_F)   0.5329 states/eV/atom

=====

# PBE-GGA Cs2CaHfH, relaxed
data_Cs2CaHfH
_chemical_formula_sum 'Cs2 Ca1 Hf1 H1'
_cell_length_a 7.7607
_cell_length_b 7.7607
_cell_length_c 3.9456
_cell_angle_alpha 90.00
_cell_angle_beta 90.00
_cell_angle_gamma 90.00
_symmetry_space_group_name_H-M 'P 4/m m m'
_symmetry_Int_Tables_number 123
_symmetry_space_group_name_Hall '-P 4 2'
loop_
_atom_site_label
_atom_site_fract_x
_atom_site_fract_y
_atom_site_fract_z
Cs1 0.0000 0.5000 0.0000
Ca1 0.0000 0.0000 0.0000
Hf1 0.5000 0.5000 0.5000
H1 0.0000 0.0000 0.5000
# Total DFT energy (no corrections)   -2.38 eV/atom
# N(E_F)   1.0069 states/eV/atom

=====

# PBE-GGA TaCuBr3, relaxed
data_TaCuBr3
_chemical_formula_sum 'Ta1 Cu1 Br3'
_cell_length_a 5.1500
_cell_length_b 5.1500
_cell_length_c 5.1500
_cell_angle_alpha 90.00
_cell_angle_beta 90.00
_cell_angle_gamma 90.00
_symmetry_space_group_name_H-M 'P m -3 m'
_symmetry_Int_Tables_number 221
_symmetry_space_group_name_Hall '-P 4 2 3'
loop_
_atom_site_label
_atom_site_fract_x
_atom_site_fract_y
_atom_site_fract_z
Ta1 0.0000 0.0000 0.0000
Cu1 0.5000 0.5000 0.5000
Br1 0.0000 0.0000 0.5000
# Total DFT energy (no corrections)   -3.87 eV/atom
# Raw formation energy   0.324 eV per atom
# N(E_F)   0.8794 states/eV/atom
# Excess energy over the best structure of this formula in the dataset   0 meV per atom